P | Density functional theory data (PBE-GGA) for a geometry-optimized OsI2O2 structure.

For the density of states at the Fermi level, the calculation gives 1.22 states/eV/atom. The value obtained for the spin magnetization is 2.560 μB/cell.

The space group is P4/mmm (No. 123) and the conventional cell measures 4.009, 4.009 and 8.131 Å, with angles of 90.00, 90.00 and 90.00 degrees. Symmetry generates all atoms from Os at (0.000, 0.000, 0.000), I at (0.500, 0.500, 0.000), I at (0.500, 0.500, 0.500) and O at (0.000, 0.500, 0.500).

Q | Density functional theory data (PBE-GGA) for a geometry-optimized OsI2O2 structure.

For the density of states at the Fermi level, the calculation gives 0.87 states/eV/atom. The value obtained for the spin magnetization is 0.539 μB/cell.

The space group is P4/mmm (No. 123) and the conventional cell measures 4.023, 4.023 and 6.447 Å, with angles of 90.00, 90.00 and 90.00 degrees. Symmetry generates all atoms from Os at (0.000, 0.000, 0.000), I at (0.000, 0.000, 0.500), I at (0.500, 0.500, 0.500) and O at (0.000, 0.500, 0.000).

R | Density functional theory data (PBE-GGA) for a geometry-optimized OsI2O2 structure.

For the density of states at the Fermi level, the calculation gives 0.61 states/eV/atom. The value obtained for the spin magnetization is 0.000 μB/cell.

The space group is P4/mmm (No. 123) and the conventional cell measures 4.885, 4.885 and 3.465 Å, with angles of 90.00, 90.00 and 90.00 degrees. Symmetry generates all atoms from Os at (0.000, 0.000, 0.000), I at (0.000, 0.500, 0.500), O at (0.500, 0.500, 0.000) and O at (0.500, 0.500, 0.500).

Q: Which of them is the least stable? A: R.

P | Density functional theory data (PBE-GGA) for a geometry-optimized POsI2O structure.

For the density of states at the Fermi level, the calculation gives 0.91 states/eV/atom. The value obtained for the spin magnetization is 0.000 μB/cell.

The space group is P4/mmm (No. 123) and the conventional cell measures 5.493, 5.493 and 3.735 Å, with angles of 90.00, 90.00 and 90.00 degrees. Symmetry generates all atoms from P at (0.000, 0.000, 0.000), Os at (0.500, 0.500, 0.500), I at (0.000, 0.500, 0.500) and O at (0.500, 0.500, 0.000).

Q | Density functional theory data (PBE-GGA) for a geometry-optimized POsI2O structure.

For the density of states at the Fermi level, the calculation gives 0.66 states/eV/atom. The value obtained for the spin magnetization is 0.000 μB/cell.

The space group is P4/mmm (No. 123) and the conventional cell measures 5.321, 5.321 and 3.382 Å, with angles of 90.00, 90.00 and 90.00 degrees. Symmetry generates all atoms from P at (0.000, 0.000, 0.000), Os at (0.500, 0.500, 0.500), I at (0.000, 0.500, 0.000) and O at (0.000, 0.000, 0.500).

Q: Which of them is the least stable? A: Q.

P | Density functional theory data (PBE-GGA) for a geometry-optimized OsPtI2O structure.

For the density of states at the Fermi level, the calculation gives 0.96 states/eV/atom. The value obtained for the spin magnetization is 0.000 μB/cell.

The space group is P4/mmm (No. 123) and the conventional cell measures 5.459, 5.459 and 3.697 Å, with angles of 90.00, 90.00 and 90.00 degrees. Symmetry generates all atoms from Os at (0.000, 0.000, 0.000), Pt at (0.500, 0.500, 0.500), I at (0.000, 0.500, 0.000) and O at (0.000, 0.000, 0.500).

Q | Density functional theory data (PBE-GGA) for a geometry-optimized OsPtI2O structure.

For the density of states at the Fermi level, the calculation gives 1.60 states/eV/atom. The value obtained for the spin magnetization is 0.002 μB/cell.

The space group is P4/mmm (No. 123) and the conventional cell measures 5.485, 5.485 and 3.699 Å, with angles of 90.00, 90.00 and 90.00 degrees. Symmetry generates all atoms from Os at (0.000, 0.000, 0.000), Pt at (0.500, 0.500, 0.500), I at (0.000, 0.500, 0.500) and O at (0.500, 0.500, 0.000).

Q: Which of them is the least stable? A: Q.

P | Density functional theory data (PBE-GGA) for a geometry-optimized OsSI2O structure.

For the density of states at the Fermi level, the calculation gives 0.90 states/eV/atom. The value obtained for the spin magnetization is 0.540 μB/cell.

The space group is P4/mmm (No. 123) and the conventional cell measures 5.508, 5.508 and 3.734 Å, with angles of 90.00, 90.00 and 90.00 degrees. Symmetry generates all atoms from Os at (0.000, 0.000, 0.000), S at (0.500, 0.500, 0.500), I at (0.000, 0.500, 0.000) and O at (0.000, 0.000, 0.500).

Q | Density functional theory data (PBE-GGA) for a geometry-optimized OsSI2O structure.

For the density of states at the Fermi level, the calculation gives 0.79 states/eV/atom. The value obtained for the spin magnetization is 0.000 μB/cell.

The space group is P4/mmm (No. 123) and the conventional cell measures 5.345, 5.345 and 3.433 Å, with angles of 90.00, 90.00 and 90.00 degrees. Symmetry generates all atoms from Os at (0.000, 0.000, 0.000), S at (0.500, 0.500, 0.500), I at (0.000, 0.500, 0.500) and O at (0.500, 0.500, 0.000).

Q: Which of them is the least stable? A: Q.

P | Density functional theory data (PBE-GGA) for a geometry-optimized SbOsIO2 structure.

For the density of states at the Fermi level, the calculation gives 0.87 states/eV/atom. The value obtained for the spin magnetization is 0.003 μB/cell.

The space group is P4/mmm (No. 123) and the conventional cell measures 3.916, 3.916 and 8.166 Å, with angles of 90.00, 90.00 and 90.00 degrees. Symmetry generates all atoms from Sb at (0.000, 0.000, 0.000), Os at (0.500, 0.500, 0.500), I at (0.500, 0.500, 0.000) and O at (0.000, 0.500, 0.500).

Q | Density functional theory data (PBE-GGA) for a geometry-optimized SbOsIO2 structure.

For the density of states at the Fermi level, the calculation gives 0.88 states/eV/atom. The value obtained for the spin magnetization is 2.320 μB/cell.

The space group is P4/mmm (No. 123) and the conventional cell measures 3.958, 3.958 and 6.850 Å, with angles of 90.00, 90.00 and 90.00 degrees. Symmetry generates all atoms from Sb at (0.000, 0.000, 0.000), Os at (0.500, 0.500, 0.500), I at (0.000, 0.000, 0.500) and O at (0.000, 0.500, 0.000).

Q: Which of them is the least stable? A: Q.

P | Density functional theory data (PBE-GGA) for a geometry-optimized OsSeIO2 structure.

For the density of states at the Fermi level, the calculation gives 0.72 states/eV/atom. The value obtained for the spin magnetization is 0.000 μB/cell.

The space group is P4/mmm (No. 123) and the conventional cell measures 3.846, 3.846 and 6.559 Å, with angles of 90.00, 90.00 and 90.00 degrees. Symmetry generates all atoms from Os at (0.000, 0.000, 0.000), Se at (0.500, 0.500, 0.500), I at (0.000, 0.000, 0.500) and O at (0.000, 0.500, 0.000).

Q | Density functional theory data (PBE-GGA) for a geometry-optimized OsSeIO2 structure.

For the density of states at the Fermi level, the calculation gives 0.63 states/eV/atom. The value obtained for the spin magnetization is 1.619 μB/cell.

The space group is P4/mmm (No. 123) and the conventional cell measures 3.812, 3.812 and 6.965 Å, with angles of 90.00, 90.00 and 90.00 degrees. Symmetry generates all atoms from Os at (0.000, 0.000, 0.000), Se at (0.500, 0.500, 0.500), I at (0.500, 0.500, 0.000) and O at (0.000, 0.500, 0.500).

Q: Which of them is the least stable? A: Q.

P | Density functional theory data (PBE-GGA) for a geometry-optimized SiOsI2O structure.

For the density of states at the Fermi level, the calculation gives 1.07 states/eV/atom. The value obtained for the spin magnetization is 0.000 μB/cell.

The space group is P4/mmm (No. 123) and the conventional cell measures 5.546, 5.546 and 3.756 Å, with angles of 90.00, 90.00 and 90.00 degrees. Symmetry generates all atoms from Si at (0.000, 0.000, 0.000), Os at (0.500, 0.500, 0.500), I at (0.000, 0.500, 0.500) and O at (0.500, 0.500, 0.000).

Q | Density functional theory data (PBE-GGA) for a geometry-optimized SiOsI2O structure.

For the density of states at the Fermi level, the calculation gives 0.74 states/eV/atom. The value obtained for the spin magnetization is 0.000 μB/cell.

The space group is P4/mmm (No. 123) and the conventional cell measures 5.324, 5.324 and 3.356 Å, with angles of 90.00, 90.00 and 90.00 degrees. Symmetry generates all atoms from Si at (0.000, 0.000, 0.000), Os at (0.500, 0.500, 0.500), I at (0.000, 0.500, 0.000) and O at (0.000, 0.000, 0.500).

Q: Which of them is the least stable? A: Q.

P | Density functional theory data (PBE-GGA) for a geometry-optimized SiOsIO2 structure.

For the density of states at the Fermi level, the calculation gives 0.67 states/eV/atom. The value obtained for the spin magnetization is 0.511 μB/cell.

The space group is P4/mmm (No. 123) and the conventional cell measures 3.794, 3.794 and 8.404 Å, with angles of 90.00, 90.00 and 90.00 degrees. Symmetry generates all atoms from Si at (0.000, 0.000, 0.000), Os at (0.500, 0.500, 0.500), I at (0.500, 0.500, 0.000) and O at (0.000, 0.500, 0.500).

Q | Density functional theory data (PBE-GGA) for a geometry-optimized SiOsIO2 structure.

For the density of states at the Fermi level, the calculation gives 0.74 states/eV/atom. The value obtained for the spin magnetization is 0.000 μB/cell.

The space group is P4/mmm (No. 123) and the conventional cell measures 3.531, 3.531 and 8.632 Å, with angles of 90.00, 90.00 and 90.00 degrees. Symmetry generates all atoms from Si at (0.000, 0.000, 0.000), Os at (0.500, 0.500, 0.500), I at (0.000, 0.000, 0.500) and O at (0.000, 0.500, 0.000).

Q: Which of them is the least stable? A: Q.